#i
Here is KScTi2 after structural relaxation from the Alexandria database. Energies are from GGA-PBE.

The space group is I4_1/amd (No. 141, origin choice 2) and the conventional cell measures 4.711, 4.711 and 21.763 Å, with angles of 90.00, 90.00 and 90.00 degrees. The asymmetric unit holds K at (0.000, 0.250, 0.375), Sc at (0.000, 0.250, 0.875) and Ti at (0.000, 0.000, 0.000).

As for the density of states at the Fermi level: 32.85 states/eV/cell. For the total magnetization, the calculation gives 0.00 μB per cell.

***

#ii
Here is KScTi2 after structural relaxation from the Alexandria database. Energies are from GGA-PBE.

The space group is Fm-3m (No. 225) and the conventional cell measures 7.430, 7.430 and 7.430 Å, with angles of 90.00, 90.00 and 90.00 degrees. The asymmetric unit holds K at (0.000, 0.000, 0.000), Sc at (0.000, 0.000, 0.500) and Ti at (0.250, 0.250, 0.250).

As for the density of states at the Fermi level: 24.49 states/eV/cell. For the total magnetization, the calculation gives 22.77 μB per cell.

***

Which of them is most stable, and which least? Most stable: #ii; least stable: #i.

***

#i
Here is KSc2Ti after structural relaxation from the Alexandria database. Energies are from GGA-PBE.

The space group is I-42d (No. 122) and the conventional cell measures 8.226, 8.226 and 6.524 Å, with angles of 90.00, 90.00 and 90.00 degrees. The asymmetric unit holds K at (0.000, 0.000, 0.000), Sc at (0.230, 0.250, 0.625) and Ti at (0.000, 0.000, 0.500).

As for the density of states at the Fermi level: 22.78 states/eV/cell. For the total magnetization, the calculation gives 11.86 μB per cell.

***

#ii
Here is KSc2Ti after structural relaxation from the Alexandria database. Energies are from GGA-PBE.

The space group is Fm-3m (No. 225) and the conventional cell measures 7.529, 7.529 and 7.529 Å, with angles of 90.00, 90.00 and 90.00 degrees. The asymmetric unit holds K at (0.000, 0.000, 0.000), Sc at (0.250, 0.250, 0.250) and Ti at (0.000, 0.000, 0.500).

As for the density of states at the Fermi level: 33.22 states/eV/cell. For the total magnetization, the calculation gives 10.01 μB per cell.

***

Which of them is most stable, and which least? Most stable: #ii; least stable: #i.

***

#i
Here is K2ScTl after structural relaxation from the Alexandria database. Energies are from GGA-PBE.

The space group is Imm2 (No. 44) and the conventional cell measures 3.749, 6.620 and 13.168 Å, with angles of 90.00, 90.00 and 90.00 degrees. The asymmetric unit holds K at (0.000, 0.000, 0.000), K at (0.000, 0.500, 0.204), Sc at (0.000, 0.500, 0.796) and Tl at (0.000, 0.000, 0.465).

As for the density of states at the Fermi level: 7.49 states/eV/cell. For the total magnetization, the calculation gives 0.40 μB per cell.

***

#ii
Here is K2ScTl after structural relaxation from the Alexandria database. Energies are from GGA-PBE.

The space group is C2/m (No. 12) and the conventional cell measures 6.582, 13.164 and 3.707 Å, with angles of 90.00, 120.60 and 90.00 degrees. The asymmetric unit holds K at (0.250, 0.250, 0.000), Sc at (0.000, 0.000, 0.500) and Tl at (0.000, 0.500, 0.500).

As for the density of states at the Fermi level: 7.92 states/eV/cell. For the total magnetization, the calculation gives 1.75 μB per cell.

***

#iii
Here is K2ScTl after structural relaxation from the Alexandria database. Energies are from GGA-PBE.

The space group is Fm-3m (No. 225) and the conventional cell measures 8.478, 8.478 and 8.478 Å, with angles of 90.00, 90.00 and 90.00 degrees. The asymmetric unit holds K at (0.250, 0.250, 0.250), Sc at (0.000, 0.000, 0.000) and Tl at (0.000, 0.000, 0.500).

As for the density of states at the Fermi level: 17.02 states/eV/cell. For the total magnetization, the calculation gives 0.00 μB per cell.

***

Which of them is most stable, and which least? Most stable: #i; least stable: #iii.

***

#i
Here is KSc2Tl2 after structural relaxation from the Alexandria database. Energies are from GGA-PBE.

The space group is P4/mbm (No. 127) and the conventional cell measures 9.111, 9.111 and 3.262 Å, with angles of 90.00, 90.00 and 90.00 degrees. The asymmetric unit holds K at (0.000, 0.000, 0.000), Sc at (0.121, 0.379, 0.000) and Tl at (0.175, 0.675, 0.500).

As for the density of states at the Fermi level: 8.67 states/eV/cell. For the total magnetization, the calculation gives 0.62 μB per cell.

***

#ii
Here is KSc2Tl2 after structural relaxation from the Alexandria database. Energies are from GGA-PBE.

The space group is I4/mmm (No. 139) and the conventional cell measures 4.711, 4.711 and 13.959 Å, with angles of 90.00, 90.00 and 90.00 degrees. The asymmetric unit holds K at (0.000, 0.000, 0.000), Sc at (0.000, 0.500, 0.250) and Tl at (0.000, 0.000, 0.391).

As for the density of states at the Fermi level: 14.90 states/eV/cell. For the total magnetization, the calculation gives 1.95 μB per cell.

***

Which of them is most stable, and which least? Most stable: #i; least stable: #ii.

***

#i
Here is KSc3V after structural relaxation from the Alexandria database. Energies are from GGA-PBE.

The space group is Pm-3m (No. 221) and the conventional cell measures 4.896, 4.896 and 4.896 Å, with angles of 90.00, 90.00 and 90.00 degrees. The asymmetric unit holds K at (0.000, 0.000, 0.000), Sc at (0.000, 0.000, 0.500) and V at (0.500, 0.500, 0.500).

As for the density of states at the Fermi level: 5.51 states/eV/cell. For the total magnetization, the calculation gives 3.05 μB per cell.

***

#ii
Here is KSc3V after structural relaxation from the Alexandria database. Energies are from GGA-PBE.

The space group is Pm-3m (No. 221) and the conventional cell measures 5.237, 5.237 and 5.237 Å, with angles of 90.00, 90.00 and 90.00 degrees. The asymmetric unit holds K at (0.000, 0.000, 0.000), Sc at (0.000, 0.500, 0.500) and V at (0.500, 0.500, 0.500).

As for the density of states at the Fermi level: 5.50 states/eV/cell. For the total magnetization, the calculation gives 1.90 μB per cell.

***

Which of them is most stable, and which least? Most stable: #ii; least stable: #i.

***

#i
Here is KScV2 after structural relaxation from the Alexandria database. Energies are from GGA-PBE.

The space group is I-42d (No. 122) and the conventional cell measures 4.445, 4.445 and 20.911 Å, with angles of 90.00, 90.00 and 90.00 degrees. The asymmetric unit holds K at (0.000, 0.000, 0.000), Sc at (0.000, 0.000, 0.500) and V at (0.020, 0.750, 0.625).

As for the density of states at the Fermi level: 19.76 states/eV/cell. For the total magnetization, the calculation gives 0.00 μB per cell.

***

#ii
Here is KScV2 after structural relaxation from the Alexandria database. Energies are from GGA-PBE.

The space group is Fm-3m (No. 225) and the conventional cell measures 7.368, 7.368 and 7.368 Å, with angles of 90.00, 90.00 and 90.00 degrees. The asymmetric unit holds K at (0.000, 0.000, 0.000), Sc at (0.000, 0.000, 0.500) and V at (0.250, 0.250, 0.250).

As for the density of states at the Fermi level: 30.00 states/eV/cell. For the total magnetization, the calculation gives 33.74 μB per cell.

***

Which of them is most stable, and which least? Most stable: #ii; least stable: #i.